VASP calculation (PBE-GGA) on a relaxed BeTlAsSe2 crystal.

Unit cell a=5.417 b=5.417 c=5.358 alpha=90.00 beta=90.00 gamma=90.00
Space group P4/mmm (No. 123)
One atom of each set of equivalent atoms:
Be (0.000, 0.000, 0.000) x1
Tl (0.500, 0.500, 0.500) x1
As (0.500, 0.500, 0.000) x1
Se (0.000, 0.500, 0.500) x2

Properties
As for the size of the total moment: 1.879 Bohr magnetons per cell. The electronic total energy comes out at -2.211 eV/atom. The calculated density comes out at 4.713 Mg/m³. For the formation energy from raw total energies, the calculation gives 1.33 eV per atom.



VASP calculation (PBE-GGA) on a relaxed BeTlAs2Se crystal.

Unit cell a=5.340 b=5.340 c=5.414 alpha=90.00 beta=90.00 gamma=90.00
Space group P4/mmm (No. 123)
One atom of each set of equivalent atoms:
Be (0.000, 0.000, 0.000) x1
Tl (0.500, 0.500, 0.500) x1
As (0.000, 0.500, 0.500) x2
Se (0.500, 0.500, 0.000) x1

Properties
As for the size of the total moment: 1.324 Bohr magnetons per cell. The electronic total energy comes out at -2.272 eV/atom. The calculated density comes out at 4.757 Mg/m³. For the formation energy from raw total energies, the calculation gives 1.50 eV per atom.



VASP calculation (PBE-GGA) on a relaxed BeVAs2Se crystal.

Unit cell a=4.274 b=4.274 c=4.893 alpha=90.00 beta=90.00 gamma=90.00
Space group P4/mmm (No. 123)
One atom of each set of equivalent atoms:
Be (0.000, 0.000, 0.000) x1
V (0.500, 0.500, 0.500) x1
As (0.000, 0.500, 0.000) x2
Se (0.000, 0.000, 0.500) x1

Properties
As for the size of the total moment: 0.000 Bohr magnetons per cell. The electronic total energy comes out at -4.395 eV/atom. The calculated density comes out at 5.364 Mg/m³. For the formation energy from raw total energies, the calculation gives 0.73 eV per atom.



VASP calculation (PBE-GGA) on a relaxed BeVAs2Se crystal.

Unit cell a=4.762 b=4.762 c=4.708 alpha=90.00 beta=90.00 gamma=90.00
Space group P4/mmm (No. 123)
One atom of each set of equivalent atoms:
Be (0.000, 0.000, 0.000) x1
V (0.500, 0.500, 0.500) x1
As (0.000, 0.500, 0.500) x2
Se (0.500, 0.500, 0.000) x1

Properties
As for the size of the total moment: 0.000 Bohr magnetons per cell. The electronic total energy comes out at -4.516 eV/atom. The calculated density comes out at 4.492 Mg/m³. For the formation energy from raw total energies, the calculation gives 0.61 eV per atom.



VASP calculation (PBE-GGA) on a relaxed BeAsWSe2 crystal.

Unit cell a=4.895 b=4.895 c=5.001 alpha=90.00 beta=90.00 gamma=90.00
Space group P4/mmm (No. 123)
One atom of each set of equivalent atoms:
Be (0.000, 0.000, 0.000) x1
As (0.500, 0.500, 0.000) x1
W (0.500, 0.500, 0.500) x1
Se (0.000, 0.500, 0.500) x2

Properties
As for the size of the total moment: 0.000 Bohr magnetons per cell. The electronic total energy comes out at -4.824 eV/atom. The calculated density comes out at 5.899 Mg/m³. For the formation energy from raw total energies, the calculation gives 0.84 eV per atom.



VASP calculation (PBE-GGA) on a relaxed BeAsWSe2 crystal.

Unit cell a=4.553 b=4.553 c=4.204 alpha=90.00 beta=90.00 gamma=90.00
Space group P4/mmm (No. 123)
One atom of each set of equivalent atoms:
Be (0.000, 0.000, 0.000) x1
As (0.000, 0.000, 0.500) x1
W (0.500, 0.500, 0.500) x1
Se (0.000, 0.500, 0.000) x2

Properties
As for the size of the total moment: 0.000 Bohr magnetons per cell. The electronic total energy comes out at -4.631 eV/atom. The calculated density comes out at 8.111 Mg/m³. For the formation energy from raw total energies, the calculation gives 1.03 eV per atom.



VASP calculation (PBE-GGA) on a relaxed BeZnAsSe2 crystal.

Unit cell a=4.950 b=4.950 c=4.704 alpha=90.00 beta=90.00 gamma=90.00
Space group P4/mmm (No. 123)
One atom of each set of equivalent atoms:
Be (0.000, 0.000, 0.000) x1
Zn (0.500, 0.500, 0.500) x1
As (0.500, 0.500, 0.000) x1
Se (0.000, 0.500, 0.500) x2

Properties
As for the size of the total moment: 0.000 Bohr magnetons per cell. The electronic total energy comes out at -2.354 eV/atom. The calculated density comes out at 4.427 Mg/m³. For the formation energy from raw total energies, the calculation gives 0.97 eV per atom.



VASP calculation (PBE-GGA) on a relaxed BeZnAsSe2 crystal.

Unit cell a=4.828 b=4.828 c=4.210 alpha=90.00 beta=90.00 gamma=90.00
Space group P4/mmm (No. 123)
One atom of each set of equivalent atoms:
Be (0.000, 0.000, 0.000) x1
Zn (0.500, 0.500, 0.500) x1
As (0.000, 0.000, 0.500) x1
Se (0.000, 0.500, 0.000) x2

Properties
As for the size of the total moment: 0.000 Bohr magnetons per cell. The electronic total energy comes out at -2.916 eV/atom. The calculated density comes out at 5.199 Mg/m³. For the formation energy from raw total energies, the calculation gives 0.41 eV per atom.



VASP calculation (PBE-GGA) on a relaxed BeZnAs2Se crystal.

Unit cell a=4.758 b=4.758 c=4.997 alpha=90.00 beta=90.00 gamma=90.00
Space group P4/mmm (No. 123)
One atom of each set of equivalent atoms:
Be (0.000, 0.000, 0.000) x1
Zn (0.500, 0.500, 0.500) x1
As (0.000, 0.500, 0.500) x2
Se (0.500, 0.500, 0.000) x1

Properties
As for the size of the total moment: 0.000 Bohr magnetons per cell. The electronic total energy comes out at -2.485 eV/atom. The calculated density comes out at 4.451 Mg/m³. For the formation energy from raw total energies, the calculation gives 1.07 eV per atom.



VASP calculation (PBE-GGA) on a relaxed BeZnAs2Se crystal.

Unit cell a=4.390 b=4.390 c=4.969 alpha=90.00 beta=90.00 gamma=90.00
Space group P4/mmm (No. 123)
One atom of each set of equivalent atoms:
Be (0.000, 0.000, 0.000) x1
Zn (0.500, 0.500, 0.500) x1
As (0.000, 0.500, 0.000) x2
Se (0.000, 0.000, 0.500) x1

Properties
As for the size of the total moment: 0.000 Bohr magnetons per cell. The electronic total energy comes out at -3.062 eV/atom. The calculated density comes out at 5.258 Mg/m³. For the formation energy from raw total energies, the calculation gives 0.50 eV per atom.



VASP calculation (PBE-GGA) on a relaxed ZrBeAsSe2 crystal.

Unit cell a=5.160 b=5.160 c=5.302 alpha=90.00 beta=90.00 gamma=90.00
Space group P4/mmm (No. 123)
One atom of each set of equivalent atoms:
Zr (0.000, 0.000, 0.000) x1
Be (0.500, 0.500, 0.500) x1
As (0.000, 0.000, 0.500) x1
Se (0.000, 0.500, 0.000) x2

Properties
As for the size of the total moment: 0.000 Bohr magnetons per cell. The electronic total energy comes out at -4.411 eV/atom. The calculated density comes out at 3.918 Mg/m³. For the formation energy from raw total energies, the calculation gives 0.37 eV per atom.



VASP calculation (PBE-GGA) on a relaxed ZrBeAsSe2 crystal.

Unit cell a=4.645 b=4.645 c=4.409 alpha=90.00 beta=90.00 gamma=90.00
Space group P4/mmm (No. 123)
One atom of each set of equivalent atoms:
Zr (0.000, 0.000, 0.000) x1
Be (0.500, 0.500, 0.500) x1
As (0.500, 0.500, 0.000) x1
Se (0.000, 0.500, 0.500) x2

Properties
As for the size of the total moment: 0.000 Bohr magnetons per cell. The electronic total energy comes out at -4.764 eV/atom. The calculated density comes out at 5.814 Mg/m³. For the formation energy from raw total energies, the calculation gives 0.01 eV per atom.